VASP calculation (PBE+U) on crystalline CaCo2HgF8 at its relaxed geometry.

VASP energy	-4.667	eV per atom

POSCAR file:
```
CaCo2HgF8
1.0
-1.306 -4.776 -1.091
4.870 -1.281 -0.307
0.017 -1.513 6.609
Ca Co F Hg
1 2 8 1
direct
0.000 0.000 0.500
0.500 0.500 0.253
0.500 0.500 0.747
0.215 0.780 0.258
0.785 0.220 0.258
0.785 0.220 0.742
0.674 0.678 0.000
0.215 0.780 0.742
0.322 0.317 0.500
0.326 0.322 0.000
0.678 0.683 0.500
0.000 0.000 0.000
```